1.
# PBE Ca2PaFeN4, relaxed
data_Ca2PaFeN4
_chemical_formula_sum 'Ca8 Pa4 Fe4 N16'
_cell_length_a 3.3722
_cell_length_b 11.0021
_cell_length_c 11.6691
_cell_angle_alpha 90.00
_cell_angle_beta 90.00
_cell_angle_gamma 90.00
_space_group_name_H-M_alt 'C m c m'
_space_group_IT_number 63
_space_group_name_Hall '-C 2c 2'
loop_
_atom_site_label
_atom_site_type_symbol
_atom_site_fract_x
_atom_site_fract_y
_atom_site_fract_z
Ca1 Ca 0.0000 0.1324 0.0448
Pa1 Pa 0.0000 0.4008 0.2500
Fe1 Fe 0.0000 0.3379 0.7500
N1 N 0.0000 0.0640 0.2500
N2 N 0.0000 0.2140 0.6458
N3 N 0.0000 0.5000 0.0000
# Total moment: 1.79 μB per formula unit
# Electronic total energy: -245.89 eV/cell

=====

2.
# PBE Ca2FePbN, relaxed
data_Ca2FePbN
_chemical_formula_sum 'Ca2 Fe1 Pb1 N1'
_cell_length_a 5.2808
_cell_length_b 5.2808
_cell_length_c 3.6345
_cell_angle_alpha 90.00
_cell_angle_beta 90.00
_cell_angle_gamma 90.00
_space_group_name_H-M_alt 'P 4/m m m'
_space_group_IT_number 123
_space_group_name_Hall '-P 4 2'
loop_
_atom_site_label
_atom_site_type_symbol
_atom_site_fract_x
_atom_site_fract_y
_atom_site_fract_z
Ca1 Ca 0.0000 0.5000 0.0000
Fe1 Fe 0.0000 0.0000 0.5000
Pb1 Pb 0.5000 0.5000 0.5000
N1 N 0.0000 0.0000 0.0000
# Total moment: 1.47 μB per formula unit
# Electronic total energy: -26.69 eV/cell

=====

3.
# PBE CaPu2FeN4, relaxed
data_CaPu2FeN4
_chemical_formula_sum 'Ca4 Pu8 Fe4 N16'
_cell_length_a 3.4381
_cell_length_b 11.3767
_cell_length_c 11.4055
_cell_angle_alpha 90.00
_cell_angle_beta 90.00
_cell_angle_gamma 90.00
_space_group_name_H-M_alt 'C m c m'
_space_group_IT_number 63
_space_group_name_Hall '-C 2c 2'
loop_
_atom_site_label
_atom_site_type_symbol
_atom_site_fract_x
_atom_site_fract_y
_atom_site_fract_z
Ca1 Ca 0.0000 0.0979 0.2500
Pu1 Pu 0.0000 0.3696 0.0558
Fe1 Fe 0.0000 0.1679 0.7500
N1 N 0.0000 0.0000 0.0000
N2 N 0.0000 0.2615 0.6077
N3 N 0.0000 0.4323 0.2500
# Total moment: 3.99 μB per formula unit
# Electronic total energy: -319.27 eV/cell